--- i ---
Below is an optimized crystal structure of Zr3W4, with properties calculated at the PBE level.

Cell lengths 12.6582, 12.6582, 12.6582 Å; angles 165.27, 165.27, 20.89 degrees
Fractional coordinates of all 7 atoms:
Zr: 0.0000 0.0000 0.0000
Zr: 0.2938 0.2938 0.0000
Zr: 0.7062 0.7062 0.0000
W: 0.1320 0.1320 0.0000
W: 0.4256 0.4256 0.0000
W: 0.5744 0.5744 0.0000
W: 0.8680 0.8680 0.0000

Results
Density of states at the Fermi level   0.89 states/eV/atom
Symmetry   No. 139
Total moment   0.0000 μB per atom

--- ii ---
Below is an optimized crystal structure of Zr3W4, with properties calculated at the PBE level.

Cell lengths 5.5845, 5.5845, 4.9841 Å; angles 90.00, 90.00, 120.00 degrees
Fractional coordinates of all 7 atoms:
Zr: 0.0000 0.5000 0.0000
Zr: 0.5000 0.0000 0.0000
Zr: 0.5000 0.5000 0.0000
W: 0.0000 0.0000 0.2460
W: 0.0000 0.0000 0.7540
W: 0.3333 0.6667 0.5000
W: 0.6667 0.3333 0.5000

Results
Density of states at the Fermi level   0.71 states/eV/atom
Symmetry   No. 191
Total moment   0.0000 μB per atom

Question: which arrangement is favored energetically? Ranking from most to least stable: i, ii.

--- i ---
Below is an optimized crystal structure of Zr5W4, with properties calculated at the PBE level.

Cell lengths 7.4332, 7.4332, 7.4332 Å; angles 92.83, 92.83, 154.33 degrees
Fractional coordinates of all 9 atoms:
Zr: 0.0000 0.0000 0.0000
Zr: 0.3314 0.3314 0.6628
Zr: 0.3314 0.6686 0.0000
Zr: 0.6686 0.3314 0.0000
Zr: 0.6686 0.6686 0.3372
W: 0.0000 0.3494 0.3494
W: 0.0000 0.6506 0.6506
W: 0.3494 0.0000 0.3494
W: 0.6506 0.0000 0.6506

Results
Density of states at the Fermi level   1.37 states/eV/atom
Symmetry   No. 139
Total moment   0.0000 μB per atom

--- ii ---
Below is an optimized crystal structure of Zr5W4, with properties calculated at the PBE level.

Cell lengths 8.5208, 8.5208, 5.6259 Å; angles 90.00, 90.00, 120.00 degrees
Fractional coordinates of all 18 atoms:
Zr: 0.0000 0.2981 0.2500
Zr: 0.0000 0.7019 0.7500
Zr: 0.2981 0.0000 0.2500
Zr: 0.2981 0.2981 0.7500
Zr: 0.3333 0.6667 0.0000
Zr: 0.3333 0.6667 0.5000
Zr: 0.6667 0.3333 0.0000
Zr: 0.6667 0.3333 0.5000
Zr: 0.7019 0.0000 0.7500
Zr: 0.7019 0.7019 0.2500
W: 0.0000 0.0000 0.0000
W: 0.0000 0.0000 0.5000
W: 0.0000 0.3590 0.7500
W: 0.0000 0.6410 0.2500
W: 0.3590 0.0000 0.7500
W: 0.3590 0.3590 0.2500
W: 0.6410 0.0000 0.2500
W: 0.6410 0.6410 0.7500

Results
Density of states at the Fermi level   0.77 states/eV/atom
Symmetry   No. 193
Total moment   0.0000 μB per atom

Question: which arrangement is favored energetically? Ranking from most to least stable: i, ii.